First-principles (PBE) data for crystalline Tm2PdAu2 at its relaxed geometry, as listed in Alexandria via LeMat-Bulk.

POSCAR file:
```
Tm2PdAu2
1.0
-3.113 6.332 2.916
3.113 -6.332 2.916
3.113 6.332 -2.916
Tm Pd Au
4 2 4
Cartesian
1.491 1.954 0.000
1.491 -1.954 2.916
1.622 8.286 0.000
1.622 4.378 2.916
0.000 0.000 1.458
0.000 0.000 4.374
4.338 1.494 0.000
1.225 4.838 0.000
1.889 1.494 2.916
-1.225 4.838 2.916
```

Results
Magnetization = 0.0 μB per formula unit
Total DFT energy (no corrections) = -49.1 eV/cell
Energy of formation = -0.77 eV per atom
Density of states at the Fermi level = 6.1 states/eV/cell

***

First-principles (PBE) data for crystalline TbSm5Y3 at its relaxed geometry, as listed in Alexandria via LeMat-Bulk.

POSCAR file:
```
TbSm5Y3
1.0
8.188 -3.386 0.000
8.188 3.386 0.000
-3.967 0.000 10.891
Tb Sm Y
2 10 6
Cartesian
5.213 1.777 8.168
7.196 -1.777 2.723
-0.565 0.634 9.266
1.418 -0.634 3.821
7.196 1.243 2.723
2.610 0.023 10.359
4.593 -0.023 4.914
7.816 0.023 5.977
9.799 -0.023 0.531
5.213 -1.243 8.168
10.990 0.634 7.070
12.974 -0.634 1.625
0.000 0.000 0.000
-1.983 0.000 5.445
1.763 0.687 6.874
3.746 -0.687 1.429
8.663 0.687 9.462
10.646 -0.687 4.016
```

Results
Magnetization = 0.0 μB per formula unit
Total DFT energy (no corrections) = -92.2 eV/cell
Energy of formation = 0.17 eV per atom
Density of states at the Fermi level = 26.9 states/eV/cell